1.
Below is a geometry-optimized MgTa2Pb structure, with properties calculated at the PBE level.

a = 2.976 Å, b = 2.976 Å, c = 9.805 Å
α = 90.00°, β = 90.00°, γ = 90.00°
Sites, in units of the cell vectors:
Mg 0.000 0.000 0.468
Pb 0.500 0.500 0.769
Ta 0.000 0.000 0.019
Ta 0.500 0.500 0.244

Values from the calculation:
- Formation energy: 0.37 eV/atom
- Crystal system: tetragonal
- Symmetry: No. 99
- Mass density: 11.3 g cm⁻³
- Total energy: -27.53 eV for the cell shown


2.
Below is a geometry-optimized MgTaPb structure, with properties calculated at the PBE level.

a = 5.691 Å, b = 5.691 Å, c = 5.691 Å
α = 147.76°, β = 139.33°, γ = 52.83°
Sites, in units of the cell vectors:
Mg 0.007 0.007 0.000
Pb 0.333 0.333 0.000
Ta 0.660 0.660 0.000

Values from the calculation:
- Formation energy: 0.46 eV/atom
- Crystal system: orthorhombic
- Symmetry: No. 44
- Mass density: 10.7 g cm⁻³
- Total energy: -15.78 eV for the cell shown